Entry from Alexandria via LeMat-Bulk: a PBEsol-optimized structure of AgPtAu (SCAN).

SG: Imm2 (44)
Magnetic moment in μB per formula unit: 0.000
Energy of formation from the pure elements in meV per atom: 26.8
E above lowest polymorph in kJ/mol of formula units: 15
E_tot in eV per atom: -56.8789

Structure (POSCAR):
```
AgPtAu
1.0
2.795 0.000 0.000
0.000 4.056 0.000
-1.397 -2.028 4.240
Au Pt Ag
1 1 1
Direct
0.668 0.668 0.336 Au
0.333 0.333 0.666 Pt
0.999 0.999 0.997 Ag
```